# 1
4
Lattice="1.543 0.891 7.209 -1.543 0.891 7.209 0.000 -1.782 7.209" Properties=species:S:1:pos:R:3 comment="KWN2 (PBE-GGA, relaxed)" density_g_cm3=7.0 raw_formation_energy_kcal_per_mol_atoms=1.453 sg="R-3m (166)" polymorph_energy_mev_per_atom=523 vol_a3_per_cell=59.5 final_energy_ev_per_atom=-7.612 m_tot_mub_per_fu=0.0 pbc="T T T"
K 0.000 0.000 0.000
W 0.000 0.000 10.814
N 0.000 0.000 2.492
N 0.000 0.000 19.136


# 2
4
Lattice="1.844 1.065 11.026 -1.844 1.065 11.026 0.000 -2.129 11.026" Properties=species:S:1:pos:R:3 comment="NdSm2Si (PBE-GGA, relaxed)" density_g_cm3=6.0 raw_formation_energy_kcal_per_mol_atoms=0.108 sg="R-3m (166)" polymorph_energy_mev_per_atom=373 vol_a3_per_cell=129.9 final_energy_ev_per_atom=-4.903 m_tot_mub_per_fu=0.0 pbc="T T T"
Nd 0.000 0.000 0.000
Sm 0.000 0.000 3.587
Sm 0.000 0.000 29.491
Si 0.000 0.000 16.539


# 3
20
Lattice="10.865 0.000 0.000 0.000 10.865 0.000 0.000 0.000 3.125" Properties=species:S:1:pos:R:3 comment="Sm2Ta2ZnRh5 (PBE-GGA, relaxed)" density_g_cm3=11.2 sg="P4/mbm (127)" vol_a3_per_cell=368.9 formation_energy_ev_per_atom=-0.375 final_energy_ev_per_atom=-7.493 m_tot_mub_per_fu=0.0 pbc="T T T"
Sm 1.834 3.599 0.000
Sm 3.599 9.031 0.000
Sm 7.266 1.834 0.000
Sm 9.031 7.266 0.000
Ta 1.521 6.954 0.000
Ta 3.912 1.521 0.000
Ta 6.954 9.344 0.000
Ta 9.344 3.912 0.000
Zn 0.000 0.000 0.000
Zn 5.433 5.433 0.000
Rh 0.000 5.433 1.562
Rh 0.646 8.810 1.562
Rh 2.055 0.646 1.562
Rh 3.378 6.078 1.562
Rh 4.787 3.378 1.562
Rh 5.433 0.000 1.562
Rh 6.078 7.487 1.562
Rh 7.487 4.787 1.562
Rh 8.810 10.219 1.562
Rh 10.219 2.055 1.562


# 4
3
Lattice="4.462 0.000 0.000 -2.231 3.864 0.000 0.000 0.000 3.422" Properties=species:S:1:pos:R:3 comment="TlFeAu (PBE-GGA, relaxed)" density_g_cm3=12.9 sg="P3m1 (156)" polymorph_energy_mev_per_atom=98 vol_a3_per_cell=59.0 formation_energy_ev_per_atom=0.461 final_energy_ev_per_atom=-4.241 m_tot_mub_per_fu=3.0 pbc="T T T"
Tl 0.000 0.000 0.000
Fe 0.000 2.576 2.094
Au 2.231 1.288 1.434


# 5
5
Lattice="-1.858 1.858 7.331 1.858 -1.858 7.331 1.858 1.858 -7.331" Properties=species:S:1:pos:R:3 comment="MgNi2Te2 (PBE-GGA, relaxed)" density_g_cm3=6.5 raw_formation_energy_kcal_per_mol_atoms=-3.409 sg="I4/mmm (139)" polymorph_energy_mev_per_atom=0 vol_a3_per_cell=101.3 final_energy_ev_per_atom=-4.036 m_tot_mub_per_fu=0.4 pbc="T T T"
Mg 0.000 0.000 0.000
Ni 1.858 0.000 3.665
Ni 0.000 1.858 3.665
Te 0.000 0.000 5.439
Te 0.000 0.000 9.222


# 6
12
Lattice="3.770 0.000 0.000 0.000 12.598 0.000 0.000 0.000 6.630" Properties=species:S:1:pos:R:3 comment="OsI (PBE-GGA, relaxed)" density_g_cm3=10.0 raw_formation_energy_kcal_per_mol_atoms=27.681 sg="Pmmn (59)" polymorph_energy_mev_per_atom=592 vol_a3_per_cell=314.9 final_energy_ev_per_atom=-5.190 m_tot_mub_per_fu=0.0 pbc="T T T"
Os 0.943 0.671 0.307
Os 0.943 5.628 0.307
Os 0.943 9.448 2.604
Os 2.828 3.149 4.026
Os 2.828 6.970 6.323
Os 2.828 11.927 6.323
I 0.943 3.149 5.763
I 0.943 7.507 4.323
I 0.943 11.390 4.323
I 2.828 1.208 2.307
I 2.828 5.091 2.307
I 2.828 9.448 0.867


# 7
4
Lattice="3.832 0.000 0.000 0.000 3.832 0.000 0.000 0.000 7.831" Properties=species:S:1:pos:R:3 comment="YTm2Te (PBE-GGA, relaxed)" density_g_cm3=8.0 raw_formation_energy_kcal_per_mol_atoms=-12.178 sg="P4/mmm (123)" polymorph_energy_mev_per_atom=109 vol_a3_per_cell=115.0 final_energy_ev_per_atom=-5.165 m_tot_mub_per_fu=0.0 pbc="T T T"
Y 0.000 0.000 0.000
Tm 1.916 1.916 2.152
Tm 1.916 1.916 5.678
Te 0.000 0.000 3.915


# 8
5
Lattice="4.150 0.000 0.000 0.000 4.150 0.000 0.000 0.000 6.980" Properties=species:S:1:pos:R:3 comment="TlTeWN2 (PBE-GGA, relaxed)" density_g_cm3=7.5 raw_formation_energy_kcal_per_mol_atoms=58.891 sg="P4/mmm (123)" polymorph_energy_mev_per_atom=2085 vol_a3_per_cell=120.2 final_energy_ev_per_atom=-4.469 m_tot_mub_per_fu=3.5 pbc="T T T"
Tl 0.000 0.000 0.000
Te 0.000 0.000 3.490
W 2.075 2.075 3.490
N 0.000 2.075 0.000
N 2.075 0.000 0.000